LaSi2Rh | PBE | optimized geometry

Results
- total magnetization (μB per cell) = 0.0
- uncorrected formation energy (eV per formula unit) = -3.52
- calculated volume (Å³/f.u.) = 77.8

Unit cell a=4.1140 b=17.6242 c=4.2910 alpha=90.00 beta=90.00 gamma=90.00
Space group Cmmm (No. 65)
Inequivalent atoms, fractional coordinates:
La (0.0000, 0.1452, 0.0000)
Si (0.0000, 0.0000, 0.5000)
Si (0.0000, 0.2874, 0.5000)
Si (0.0000, 0.5000, 0.0000)
Rh (0.0000, 0.4238, 0.5000)

LaSi2Rh | PBE | optimized geometry

Results
- total magnetization (μB per cell) = 0.0
- uncorrected formation energy (eV per formula unit) = -0.10
- calculated volume (Å³/f.u.) = 75.2

Unit cell a=3.1991 b=3.1991 c=25.4617 alpha=90.00 beta=90.00 gamma=120.00
Space group R3m (No. 160, hexagonal axes)
Inequivalent atoms, fractional coordinates:
La (0.0000, 0.0000, 0.0000)
Si (0.0000, 0.0000, 0.2331)
Si (0.0000, 0.0000, 0.4965)
Rh (0.0000, 0.0000, 0.7677)

La3Si2Rh6 | PBE | optimized geometry

Results
- total magnetization (μB per cell) = 0.0
- uncorrected formation energy (eV per formula unit) = -8.63
- calculated volume (Å³/f.u.) = 214.2

Unit cell a=9.4982 b=9.4982 c=9.4982 alpha=90.00 beta=90.00 gamma=90.00
Space group Im-3m (No. 229)
Inequivalent atoms, fractional coordinates:
La (0.0000, 0.0000, 0.2966)
Si (0.2500, 0.2500, 0.2500)
Rh (0.0000, 0.3087, 0.3087)

LaSi2Rh | PBE | optimized geometry

Results
- total magnetization (μB per cell) = 0.0
- uncorrected formation energy (eV per formula unit) = -1.17
- calculated volume (Å³/f.u.) = 76.0

Unit cell a=4.0995 b=4.0995 c=4.5197 alpha=90.00 beta=90.00 gamma=90.00
Space group P4/mmm (No. 123)
Inequivalent atoms, fractional coordinates:
La (0.0000, 0.0000, 0.0000)
Si (0.0000, 0.5000, 0.5000)
Rh (0.5000, 0.5000, 0.0000)